## 1
A plane-wave DFT calculation with PBE was carried out for crystalline Ga2OsPbF at its relaxed geometry.

## Properties
Space-group type ... No. 123
ρ ... 7.71 g/cm3

Cell: 4.778 4.778 5.243 Å, 90.00 90.00 90.00°
Element x y z (fractional)
1 Ga 0.000 0.500 0.000
2 Ga 0.500 0.000 0.000
3 Os 0.000 0.000 0.000
4 Pb 0.000 0.000 0.500
5 F 0.500 0.500 0.500

***

## 2
A plane-wave DFT calculation with PBE was carried out for crystalline Ga2OsPbF at its relaxed geometry.

## Properties
Space-group type ... No. 123
ρ ... 9.54 g/cm3

Cell: 4.834 4.834 4.142 Å, 90.00 90.00 90.00°
Element x y z (fractional)
1 Ga 0.000 0.500 0.000
2 Ga 0.500 0.000 0.000
3 Os 0.000 0.000 0.500
4 Pb 0.500 0.500 0.500
5 F 0.000 0.000 0.000

***

So which one wins? Going from most stable to least: 1, 2.

***

## 1
A plane-wave DFT calculation with PBE was carried out for crystalline Ga2PF at its relaxed geometry.

## Properties
Space-group type ... No. 122
ρ ... 4.19 g/cm3

Cell: 7.384 7.384 7.384 Å, 142.19 142.19 54.55°
Element x y z (fractional)
1 Ga 0.079 0.625 0.954
2 Ga 0.375 0.329 0.454
3 Ga 0.671 0.125 0.046
4 Ga 0.875 0.921 0.546
5 P 0.250 0.750 0.500
6 P 0.500 0.500 0.000
7 F 0.000 0.000 0.000
8 F 0.750 0.250 0.500

***

## 2
A plane-wave DFT calculation with PBE was carried out for crystalline Ga2PF at its relaxed geometry.

## Properties
Space-group type ... No. 225
ρ ... 5.18 g/cm3

Cell: 4.411 4.411 4.411 Å, 60.00 60.00 60.00°
Element x y z (fractional)
1 Ga 0.250 0.250 0.250
2 Ga 0.750 0.750 0.750
3 P 0.000 0.000 0.000
4 F 0.500 0.500 0.500

***

So which one wins? Going from most stable to least: 2, 1.